DFT (PBE) results for a geometry-optimized La2TlCoSi structure.

Lattice parameters (Å, degrees): 5.380 5.380 4.442 90.00 90.00 90.00
Space group P4/mmm (No. 123)
Asymmetric unit:
La: 0.000 0.500 0.000 (multiplicity 2)
Tl: 0.000 0.000 0.500 (multiplicity 1)
Co: 0.500 0.500 0.000 (multiplicity 1)
Si: 0.500 0.500 0.500 (multiplicity 1)

Computed properties:
For the total energy, the calculation gives -5.355 eV/atom.